--- w ---
Below is a relaxed structure of Pr7Y2Er2, with properties calculated at the GGA-PBE level.

```
Pr7Y2Er2
1.0
-0.7173 -1.9662 5.8220
6.7318 2.4556 3.9660
-4.3673 5.8329 3.7390
Pr Er Y
7 2 2
Cartesian
0.0000 0.0000 0.0000
3.5908 1.3793 3.5646
3.9922 3.1368 10.0839
-1.9437 4.9430 9.9625
1.2186 4.3807 5.5912
0.4285 1.9416 7.9359
-2.3451 3.1855 3.4432
0.2472 1.0940 4.1919
1.3999 5.2282 9.3352
-2.3739 4.1341 6.6981
4.0210 2.1882 6.8289
```

## Properties
Space group   C2/m

=====

--- x ---
Below is a relaxed structure of Pr7Y2Er2, with properties calculated at the GGA-PBE level.

```
Pr7Y2Er2
1.0
8.2023 0.7499 1.0821
0.3622 7.0100 0.4098
0.3622 -2.0780 6.7075
Er Y Pr
2 2 7
Cartesian
7.0445 2.6588 3.8369
1.8821 3.0231 4.3625
4.4633 0.9043 5.4417
4.4633 4.7776 2.7577
4.3733 1.3712 1.9787
1.6058 3.5392 1.0212
1.6058 -0.2867 3.6724
4.5533 4.3107 6.2207
7.3208 2.1427 7.1782
7.3208 5.9686 4.5270
0.0000 0.0000 0.0000
```

## Properties
Space group   C2/m

=====

Sorted by energy, starting with the most stable: x, w.

=====

--- w ---
Below is a relaxed structure of PrY5Er2, with properties calculated at the GGA-PBE level.

```
PrY5Er2
1.0
-5.1110 5.3250 4.8801
-2.5007 1.2683 8.0529
8.7571 6.9103 1.6308
Y Er Pr
10 4 2
Cartesian
-3.4376 3.5389 9.4532
0.1477 8.6565 7.4191
-0.4052 5.9318 10.0179
3.6838 7.2695 7.8668
4.5831 9.9648 5.1105
-2.0490 2.4429 6.5772
3.1945 11.0608 7.9865
-2.5383 6.2341 6.6969
0.9978 4.8471 7.1446
1.5507 7.5719 4.5458
3.7892 5.3747 4.9730
6.1167 7.2114 5.4064
-4.9712 6.2923 9.1573
-2.6438 8.1289 9.5907
1.9102 8.8996 10.4825
-0.7647 4.6040 4.0812
```

## Properties
Space group   P2_1/m

=====

--- x ---
Below is a relaxed structure of PrY5Er2, with properties calculated at the GGA-PBE level.

```
PrY5Er2
1.0
-4.4394 1.1309 2.0945
2.9186 -0.5864 6.5028
3.4101 13.8996 -0.2772
Er Y Pr
4 10 2
Cartesian
-1.0620 2.1661 2.6369
2.9512 12.2781 5.6833
0.6441 9.1157 2.5008
1.2451 5.3285 5.8194
1.4895 12.5713 2.4266
0.0000 0.0000 0.0000
5.4773 9.8488 6.2917
0.8514 3.4644 -0.0661
4.0130 10.1216 3.0407
0.3998 1.8728 5.8935
2.1012 8.8234 5.7469
3.1643 6.6566 3.1128
2.3157 3.1917 3.1849
-0.2120 5.6208 2.5732
1.7050 6.9498 -0.1386
1.4593 -0.2932 3.2514
```

## Properties
Space group   Pbam

=====

Sorted by energy, starting with the most stable: x, w.

=====

--- w ---
Below is a relaxed structure of PrY3Er3, with properties calculated at the GGA-PBE level.

```
PrY3Er3
1.0
-7.0638 -2.7728 4.4558
-0.8707 -8.4390 2.3379
0.6241 -2.4666 8.4242
Pr Er Y
2 6 6
Cartesian
-2.5606 -4.7912 5.3304
-4.7497 -8.8872 9.8874
-0.1868 -4.6197 7.9238
-1.5858 -10.1379 8.9842
-4.6216 -5.7469 11.4727
-2.6888 -7.9314 3.7452
-7.1236 -9.0587 7.2940
-5.7246 -3.5404 6.2337
-0.7277 -7.7219 6.7807
-1.7139 -6.6993 10.1084
-5.5965 -6.9791 5.1095
-3.6877 -9.7679 6.4019
-6.5827 -5.9564 8.4371
-3.6227 -3.9104 8.8159
```

## Properties
Space group   R-3

=====

--- x ---
Below is a relaxed structure of PrY3Er3, with properties calculated at the GGA-PBE level.

```
PrY3Er3
1.0
7.1412 0.0000 0.0000
-2.3804 6.1679 0.0000
-2.3804 -3.0840 5.3416
Er Y Pr
3 3 1
Cartesian
5.9530 2.4797 0.0000
5.9530 -1.2398 2.1475
1.1922 1.8441 3.1941
-2.5609 1.7284 2.9937
2.1999 -1.3555 2.3478
2.1999 2.7110 0.0000
3.9275 0.0000 0.0000
```

## Properties
Space group   R3m

=====

Sorted by energy, starting with the most stable: w, x.

=====

--- w ---
Below is a relaxed structure of Pr12Y5Er2, with properties calculated at the GGA-PBE level.

```
Pr12Y5Er2
1.0
-3.6304 -5.4974 -2.8538
5.0789 0.4018 -7.2351
6.3554 -4.2280 9.0908
Er Y Pr
2 5 12
Cartesian
-2.6918 -4.0761 -2.1159
-0.9386 -1.4213 -0.7378
3.0527 -6.0492 -1.2615
7.7674 -4.5311 -1.1527
2.5395 0.2009 -3.6175
0.0366 -4.7926 0.1546
4.7513 -3.2744 0.2634
7.5940 -3.9158 2.2883
2.8682 -5.4544 2.3885
4.9358 -3.8693 -3.3865
5.8230 -6.5976 0.8961
2.1559 -3.1406 -5.7238
0.2100 -5.4079 -3.2863
3.1389 -6.5902 -4.7990
1.9810 -2.7261 -1.8942
4.6651 -2.7334 3.8010
6.2512 -7.3821 -2.7629
5.6481 -6.1831 4.7257
1.5528 -1.9416 1.7649
```

## Properties
Space group   C2/m

=====

--- x ---
Below is a relaxed structure of Pr12Y5Er2, with properties calculated at the GGA-PBE level.

```
Pr12Y5Er2
1.0
7.6078 0.0000 0.0000
-3.8039 9.2049 4.6536
0.0000 1.1165 10.0527
Y Pr Er
5 12 2
Cartesian
3.8039 4.2171 10.0575
0.0000 0.5583 5.0264
0.0000 4.1218 9.8899
3.8039 6.1996 4.8164
0.0000 6.1044 4.6488
-1.9922 7.1030 11.4993
0.0000 0.2626 2.0624
1.8937 3.5465 6.7758
5.7961 3.2185 3.2070
0.0000 9.8127 11.4916
5.7142 3.5465 6.7758
3.8039 10.0588 12.6439
1.8118 3.2185 3.2070
1.9922 7.1030 11.4993
3.8039 0.5088 3.2147
1.9102 6.7750 7.9306
-1.9102 6.7750 7.9306
2.2833 0.0000 0.0000
5.3245 0.0000 0.0000
```

## Properties
Space group   C2/m

=====

Sorted by energy, starting with the most stable: w, x.

=====

--- w ---
Below is a relaxed structure of PrY2Er, with properties calculated at the GGA-PBE level.

```
PrY2Er
1.0
-1.4923 -0.6185 4.8284
-4.7109 -1.0138 -1.5859
1.1541 -4.9323 -0.2751
Y Er Pr
2 1 1
Cartesian
-2.3555 -0.5069 -0.7929
0.5770 -2.4662 -0.1376
-2.5246 -3.2823 1.4837
-0.7462 -0.3092 2.4142
```

## Properties
Space group   P4/mmm

=====

--- x ---
Below is a relaxed structure of PrY2Er, with properties calculated at the GGA-PBE level.

```
PrY2Er
1.0
-0.6730 3.5458 0.0859
-5.9301 -1.1609 1.4901
5.4164 2.6098 10.5824
Y Er Pr
4 2 2
Cartesian
-2.2507 0.2355 1.8297
-5.5454 1.4285 2.6440
-2.1933 1.9422 7.7806
0.4474 4.2981 7.0749
3.1146 4.7483 9.3914
-3.5274 -0.0874 5.1708
0.4947 2.3964 10.1099
-0.9002 2.2656 4.4495
```

## Properties
Space group   Cm

=====

Sorted by energy, starting with the most stable: x, w.

=====

--- w ---
Below is a relaxed structure of Pr6Y12Er, with properties calculated at the GGA-PBE level.

```
Pr6Y12Er
1.0
8.5266 1.3149 1.5753
0.0071 8.6274 1.5753
0.0071 0.0082 8.7700
Y Er Pr
12 1 6
Cartesian
4.3916 5.1147 3.3359
1.6751 4.6999 5.6285
4.1491 4.8359 8.5846
4.1388 1.8221 2.1837
7.3663 5.5833 9.7376
1.1744 4.3673 2.1830
4.3898 2.3680 5.6300
6.8656 5.2507 6.2921
4.1510 7.5826 6.2905
7.3672 8.5824 7.2335
1.1736 1.3682 4.6871
4.4020 8.1285 9.7369
0.0000 0.0000 0.0000
6.5613 7.6422 3.8554
1.4049 6.8535 8.2081
6.5591 2.4274 8.2099
1.9795 2.3084 8.0652
7.1358 3.0971 3.7125
1.9816 7.5232 3.7106
```

## Properties
Space group   R-3m

=====

--- x ---
Below is a relaxed structure of Pr6Y12Er, with properties calculated at the GGA-PBE level.

```
Pr6Y12Er
1.0
-3.4870 3.7517 -7.1973
-5.1071 -7.1945 0.4394
-3.9588 4.9042 6.1897
Y Pr Er
12 6 1
Cartesian
-3.3532 -0.8187 -1.8848
-5.8598 3.5459 -2.2482
-6.1551 0.4343 -3.7270
-6.3978 1.0271 3.1588
-6.6931 -2.0845 1.6799
-5.9812 3.8423 1.1948
-9.0714 1.9665 -2.3261
-6.5718 -2.3809 -1.7630
-9.1998 2.2801 1.3165
-3.0408 2.4734 -0.3201
-3.4816 -0.5051 1.7579
-9.5122 -1.0120 -0.2481
-9.1147 -1.4367 -3.9929
-4.0837 -3.9032 0.1921
-3.1730 2.2502 -4.1009
-3.4382 2.8981 3.4247
-8.4692 5.3647 -0.7604
-9.3800 -0.7888 3.5327
0.0000 0.0000 0.0000
```

## Properties
Space group   R-3m

=====

Sorted by energy, starting with the most stable: w, x.

=====

--- w ---
Below is a relaxed structure of PrY8Er6, with properties calculated at the GGA-PBE level.

```
PrY8Er6
1.0
9.0284 0.0000 0.0000
4.5142 7.8188 0.0000
4.5142 2.6063 6.8838
Er Y Pr
6 8 1
Cartesian
5.8885 1.1609 0.8316
2.5753 2.1388 0.8316
5.0787 4.5191 0.8316
15.4814 8.2863 6.0521
12.1682 9.2641 6.0521
12.9780 5.9059 6.0521
11.7749 3.4837 3.9605
9.0284 5.2125 5.0267
11.8988 6.7267 2.9233
9.1523 8.4555 3.9605
9.0284 5.2125 1.8571
6.2819 6.9414 2.9233
6.1579 3.6984 3.9605
8.9044 1.9696 2.9233
0.0000 0.0000 0.0000
```

## Properties
Space group   R-3

=====

--- x ---
Below is a relaxed structure of PrY8Er6, with properties calculated at the GGA-PBE level.

```
PrY8Er6
1.0
6.5425 0.0000 0.0000
0.0000 8.1682 -4.7159
0.0000 0.0000 9.4318
Y Pr Er
8 1 6
Cartesian
5.9044 2.7741 -1.3421
5.3883 2.7227 4.7159
1.1541 5.4454 0.0000
0.6381 2.5494 1.7314
0.6381 0.2247 6.3583
0.6381 5.3941 6.0580
5.9044 5.6188 2.9845
5.9044 7.9434 -1.6424
3.2712 0.0000 0.0000
3.8703 7.4117 1.2477
2.6722 4.7864 3.6369
2.6722 2.6254 7.0426
2.6722 0.7564 3.4682
3.8703 5.5428 -2.3267
3.8703 3.3818 1.0790
```

## Properties
Space group   P-3

=====

Sorted by energy, starting with the most stable: w, x.

=====

--- w ---
Below is a relaxed structure of Pr3YEr6, with properties calculated at the GGA-PBE level.

```
Pr3YEr6
1.0
-5.7544 2.8951 1.2877
-2.5456 -0.8985 -9.3551
1.3934 -5.8962 2.7274
Y Er Pr
1 6 3
Cartesian
-4.1500 0.9983 -4.0337
-4.1005 -2.7099 -3.9834
-2.8060 -1.1897 -1.3566
-5.6386 0.2354 -0.7227
-1.2679 -4.1350 -4.6173
-5.6192 -0.5714 -7.0701
-1.2873 -3.3283 1.7301
-2.0010 -1.2762 -6.0726
0.0000 0.0000 0.0000
-4.9055 -2.6234 0.7325
```

## Properties
Space group   C2/m

=====

--- x ---
Below is a relaxed structure of Pr3YEr6, with properties calculated at the GGA-PBE level.

```
Pr3YEr6
1.0
8.9240 0.0000 0.0000
0.0000 9.0355 -1.1740
0.0000 -3.1607 8.5457
Er Pr Y
12 6 2
Cartesian
7.3791 2.8060 -0.1437
1.5370 5.8468 3.5164
5.9990 2.1230 6.4841
8.3372 6.3551 0.9621
1.5370 3.7518 0.8876
3.8753 -0.4803 6.4096
5.9990 0.0280 3.8553
1.6166 -2.5001 8.0192
2.9171 -0.7663 2.7032
7.3791 6.6411 4.6685
6.0786 8.3749 -0.6475
2.9171 3.0688 7.5154
4.4281 5.1807 4.9685
8.8901 3.6871 6.1588
7.2637 3.5519 3.1962
8.8901 0.6941 2.4032
4.4281 2.1877 1.2129
2.8017 2.3230 4.1755
0.5831 0.2201 5.8514
5.0450 5.6548 1.5203
```

## Properties
Space group   Cmc2_1

=====

Sorted by energy, starting with the most stable: x, w.

=====

--- w ---
Below is a relaxed structure of PrYEr, with properties calculated at the GGA-PBE level.

```
PrYEr
1.0
-2.1987 -2.3594 1.6056
0.5107 -2.3193 -2.7090
6.7939 -0.6817 4.2600
Y Pr Er
1 1 1
Cartesian
0.0305 -0.0155 0.0190
3.9520 -2.0067 2.4630
1.1235 -3.3384 0.6745
```

## Properties
Space group   I4mm

=====

--- x ---
Below is a relaxed structure of PrYEr, with properties calculated at the GGA-PBE level.

```
PrYEr
1.0
3.5411 0.0000 0.0000
0.0000 5.6673 0.0000
0.0000 -2.8337 4.9081
Pr Er Y
1 1 1
Cartesian
0.5887 0.0000 0.0000
0.5919 0.0000 3.2720
2.3605 2.8337 1.6360
```

## Properties
Space group   P-6m2

=====

Sorted by energy, starting with the most stable: w, x.

=====

--- w ---
Below is a relaxed structure of Pr6Y2Er3, with properties calculated at the GGA-PBE level.

```
Pr6Y2Er3
1.0
-5.8232 1.8148 1.4810
-2.8309 -1.0115 -5.5339
-11.6747 -7.7731 -0.9053
Pr Y Er
6 2 3
Cartesian
-6.2877 -1.8199 -4.8002
-7.1449 -3.4792 -1.6456
-14.0412 -5.1499 -0.1579
-13.1839 -3.4906 -3.3125
-9.5006 -0.8379 -0.9397
-10.8282 -6.1319 -4.0184
-6.0607 -0.0053 -1.6410
-14.2682 -6.9645 -3.3171
-10.5934 -4.3255 -0.9063
-9.7355 -2.6443 -4.0518
0.0000 0.0000 0.0000
```

## Properties
Space group   P-1

=====

--- x ---
Below is a relaxed structure of Pr6Y2Er3, with properties calculated at the GGA-PBE level.

```
Pr6Y2Er3
1.0
4.7600 0.0000 0.0000
0.0000 4.7600 0.0000
-2.3800 -2.3800 17.2592
Pr Y Er
6 2 3
Cartesian
2.3800 0.0000 4.1588
2.3800 2.3800 7.1775
0.0000 2.3800 13.1004
0.0000 0.0000 10.0817
2.3800 0.0000 13.1004
0.0000 2.3800 4.1588
0.0000 0.0000 15.7086
2.3800 2.3800 1.5505
0.0000 0.0000 0.0000
0.0000 0.0000 6.6570
2.3800 2.3800 10.6021
```

## Properties
Space group   I4/mmm

=====

Sorted by energy, starting with the most stable: w, x.